Here is a geometry-optimized Sb3WO structure from Alexandria. Energies are from GGA+U.

Geometry as extended XYZ:
```
5
Lattice="4.747 0.000 0.000 0.000 4.747 0.000 0.000 0.000 4.747" Properties=species:S:1:pos:R:3 pbc="T T T"
Sb 0.000 2.374 0.000
O 0.000 0.000 0.000
W 2.374 2.374 2.374
Sb 2.374 0.000 0.000
Sb 0.000 0.000 2.374
```

Properties
Polymorph energy (0 for the lowest one), meV per atom: 0
Total magnetic moment, μB per atom: 0.61
SG: Pm-3m (221)